Below is a geometry-optimized ReIrSe2N structure, with properties calculated at the PBE level.

Cell: 4.962 4.962 3.665 Å, 90.00 90.00 90.00°
Space group P4/mmm (No. 123)
Asymmetric unit:
Re (0.000, 0.000, 0.000)
Ir (0.500, 0.500, 0.500)
Se (0.000, 0.500, 0.000)
N (0.000, 0.000, 0.500)

Results
**Calculated volume**: 90 Å³/f.u.
**Raw total energy**: -32.00 eV per cell
**Formation energy without anion corrections**: 0.92 eV per atom
**Crystal system**: tetragonal